A relaxed structure of PuCd9Hg2. Source: the Alexandria database, functional PBE.

## Properties
Energy: -1.945 eV/atom
DOS at the Fermi energy: 12.14 states/eV/f.u.
DFT formation energy: -14 meV/atom
Space-group type: P6/mmm, No. 191

Lattice parameters (Å, degrees): 3.067 10.296 10.296 120.00 90.00 90.00
Site moments in Bohr magnetons follow the coordinates.
Element x y z (fractional)
Hg 0.000 0.333 0.667  0.00
Hg 0.000 0.667 0.333  0.00
Pu 0.000 0.000 0.000  5.65
Cd 0.500 0.657 0.828  -0.01
Cd 0.500 0.828 0.657  -0.01
Cd 0.000 0.500 0.000  0.00
Cd 0.000 0.000 0.500  0.00
Cd 0.000 0.500 0.500  0.00
Cd 0.500 0.828 0.172  -0.01
Cd 0.500 0.343 0.172  -0.01
Cd 0.500 0.172 0.828  -0.01
Cd 0.500 0.172 0.343  -0.01



A relaxed structure of PuCd2Hg6. Source: the Alexandria database, functional PBE.

## Properties
Energy: -2.046 eV/atom
DOS at the Fermi energy: 15.50 states/eV/f.u.
DFT formation energy: -49 meV/atom
Space-group type: C2/m, No. 12

Lattice parameters (Å, degrees): 5.194 5.198 10.975 61.87 76.31 60.03
Site moments in Bohr magnetons follow the coordinates.
Element x y z (fractional)
Hg 0.667 0.027 0.639  0.01
Hg 0.333 0.973 0.361  0.01
Hg 0.333 0.314 0.020  0.00
Hg 0.667 0.686 0.980  0.00
Hg 0.000 0.170 0.830  0.00
Hg 0.000 0.830 0.170  0.00
Cd 0.334 0.641 0.691  0.00
Cd 0.666 0.359 0.309  0.00
Pu 0.000 0.500 0.500  5.50



A relaxed structure of PuCd2Hg. Source: the Alexandria database, functional PBE.

## Properties
Energy: -4.084 eV/atom
DOS at the Fermi energy: 7.63 states/eV/f.u.
DFT formation energy: 32 meV/atom
Energy relative to the lowest polymorph listed for this composition: 0.113 eV/atom
Space-group type: R3m, No. 160

Lattice parameters (Å, degrees): 3.237 3.237 10.923 81.48 81.48 60.00
Site moments in Bohr magnetons follow the coordinates.
Element x y z (fractional)
Pu 0.500 0.500 0.500  5.57
Cd 0.080 0.080 0.760  0.00
Cd 0.253 0.253 0.241  0.00
Hg 0.667 0.667 0.000  0.01



A relaxed structure of Pu2Cd3Hg8. Source: the Alexandria database, functional PBE.

## Properties
Energy: -2.581 eV/atom
DOS at the Fermi energy: 34.70 states/eV/f.u.
DFT formation energy: 21 meV/atom
Space-group type: C2/m, No. 12

Lattice parameters (Å, degrees): 6.414 7.934 8.158 119.10 100.18 90.00
Site moments in Bohr magnetons follow the coordinates.
Element x y z (fractional)
Hg 0.550 0.199 0.773  0.02
Hg 0.107 0.403 0.806  0.01
Hg 0.893 0.597 0.194  0.01
Hg 0.550 0.574 0.773  0.02
Hg 0.450 0.426 0.227  0.02
Hg 0.772 0.214 0.428  0.03
Hg 0.228 0.786 0.572  0.03
Hg 0.450 0.801 0.227  0.02
Pu 0.739 0.796 0.593  5.60
Pu 0.261 0.204 0.407  5.60
Cd 0.000 0.814 0.000  0.02
Cd 0.500 0.000 0.000  0.01
Cd 0.000 0.186 0.000  0.02



A relaxed structure of PuCd3Hg2. Source: the Alexandria database, functional PBE.

## Properties
Energy: -3.008 eV/atom
DOS at the Fermi energy: 10.37 states/eV/f.u.
DFT formation energy: -61 meV/atom
Energy relative to the lowest polymorph listed for this composition: 0.000 eV/atom
Space-group type: C2/m, No. 12

Lattice parameters (Å, degrees): 3.159 8.485 15.791 134.43 90.00 100.73
Site moments in Bohr magnetons follow the coordinates.
Element x y z (fractional)
Cd 0.080 0.160 0.650  -0.01
Cd 0.920 0.840 0.350  -0.01
Cd 0.302 0.605 0.118  -0.01
Cd 0.431 0.863 0.690  -0.01
Cd 0.698 0.395 0.882  -0.01
Cd 0.569 0.137 0.310  -0.01
Pu 0.834 0.669 0.797  5.61
Pu 0.166 0.331 0.203  5.61
Hg 0.575 0.149 0.960  0.01
Hg 0.824 0.648 0.459  0.00
Hg 0.176 0.352 0.541  0.00
Hg 0.425 0.851 0.040  0.01



A relaxed structure of Pu5Cd3Hg3. Source: the Alexandria database, functional PBE.

## Properties
Energy: -6.633 eV/atom
DOS at the Fermi energy: 36.40 states/eV/f.u.
DFT formation energy: 213 meV/atom
Space-group type: P-62m, No. 189

Lattice parameters (Å, degrees): 3.065 10.525 10.525 120.00 90.00 90.00
Site moments in Bohr magnetons follow the coordinates.
Element x y z (fractional)
Pu 0.500 0.667 0.333  5.77
Pu 0.500 0.333 0.667  5.77
Pu 0.500 0.000 0.348  5.80
Pu 0.500 0.652 0.652  5.80
Pu 0.500 0.348 0.000  5.80
Cd 0.500 0.841 0.000  0.03
Cd 0.500 0.000 0.841  0.03
Cd 0.500 0.159 0.159  0.03
Hg 0.000 0.000 0.605  -0.01
Hg 0.000 0.605 0.000  -0.01
Hg 0.000 0.395 0.395  -0.01



Magnetic moment / μB/f.u.: 5.9; 5.9; 6.0; 12.4; 5.9; 30.9